This record from the Alexandria database describes a relaxed structure of Sr2ZnFe. The functional is PBE-GGA. Values from VASP.

```
&SYSTEM
  ibrav = 0, nat = 4, ntyp = 3
/
ATOMIC_SPECIES
Fe 55.84 Fe.upf
Sr 87.62 Sr.upf
Zn 65.41 Zn.upf
ATOMIC_POSITIONS crystal
Fe 0.000 0.500 0.500
Sr 0.500 0.500 0.000
Sr 0.000 0.000 0.000
Zn 0.500 0.000 0.500
CELL_PARAMETERS angstrom
-1.698 -3.670 -3.736
5.214 -1.553 -0.844
-0.334 -2.586 2.692
```

Output
volume: 113.6 Å³/cell
calculated total energy: -0.107 hartree per atom
space group: No. 123
energy of formation: 0.3594 eV per atom


This record from the Alexandria database describes a relaxed structure of SrZnFe2. The functional is PBE-GGA. Values from VASP.

```
&SYSTEM
  ibrav = 0, nat = 4, ntyp = 3
/
ATOMIC_SPECIES
Fe 55.84 Fe.upf
Zn 65.41 Zn.upf
Sr 87.62 Sr.upf
ATOMIC_POSITIONS crystal
Fe 0.314 0.314 0.314
Fe 0.984 0.984 0.984
Zn 0.696 0.696 0.696
Sr 0.506 0.506 0.506
CELL_PARAMETERS angstrom
-3.220 -2.508 -4.465
-2.776 -5.184 -1.418
-5.528 -2.188 -1.116
```

Output
volume: 80.3 Å³/cell
calculated total energy: -0.177 hartree per atom
space group: No. 160
energy of formation: 0.1620 eV per atom


This record from the Alexandria database describes a relaxed structure of Sr2ZnFe. The functional is PBE-GGA. Values from VASP.

```
&SYSTEM
  ibrav = 0, nat = 4, ntyp = 3
/
ATOMIC_SPECIES
Fe 55.84 Fe.upf
Sr 87.62 Sr.upf
Zn 65.41 Zn.upf
ATOMIC_POSITIONS crystal
Fe 0.500 0.750 0.750
Sr 0.000 0.006 0.995
Sr 0.000 0.494 0.505
Zn 0.500 0.250 0.250
CELL_PARAMETERS angstrom
3.748 0.000 0.000
0.000 3.782 0.011
0.000 3.781 7.980
```

Output
volume: 113.0 Å³/cell
calculated total energy: -0.108 hartree per atom
space group: No. 10
energy of formation: 0.3479 eV per atom


This record from the Alexandria database describes a relaxed structure of Sr2ZnFe. The functional is PBE-GGA. Values from VASP.

```
&SYSTEM
  ibrav = 0, nat = 8, ntyp = 3
/
ATOMIC_SPECIES
Sr 87.62 Sr.upf
Zn 65.41 Zn.upf
Fe 55.84 Fe.upf
ATOMIC_POSITIONS crystal
Sr 0.132 0.625 0.250
Sr 0.618 0.125 0.250
Sr 0.875 0.868 0.750
Sr 0.375 0.382 0.750
Zn 0.750 0.250 0.500
Zn 0.000 0.000 0.000
Fe 0.250 0.750 0.500
Fe 0.500 0.500 0.000
CELL_PARAMETERS angstrom
8.400 0.000 0.000
0.000 8.400 0.000
4.200 4.200 3.510
```

Output
volume: 247.6 Å³/cell
calculated total energy: -0.097 hartree per atom
space group: No. 122
energy of formation: 0.6316 eV per atom


This record from the Alexandria database describes a relaxed structure of Sr2Zn2Fe. The functional is PBE-GGA. Values from VASP.

```
&SYSTEM
  ibrav = 0, nat = 10, ntyp = 3
/
ATOMIC_SPECIES
Sr 87.62 Sr.upf
Zn 65.41 Zn.upf
Fe 55.84 Fe.upf
ATOMIC_POSITIONS crystal
Sr 0.683 0.817 0.500
Sr 0.817 0.317 0.500
Sr 0.183 0.683 0.500
Sr 0.317 0.183 0.500
Zn 0.870 0.630 0.000
Zn 0.630 0.130 0.000
Zn 0.370 0.870 0.000
Zn 0.130 0.370 0.000
Fe 0.500 0.500 0.000
Fe 0.000 0.000 0.000
CELL_PARAMETERS angstrom
-6.560 0.496 2.885
-2.918 -1.665 -6.349
0.160 -4.851 1.198
```

Output
volume: 257.9 Å³/cell
calculated total energy: -0.098 hartree per atom
space group: No. 127
energy of formation: 0.2195 eV per atom


This record from the Alexandria database describes a relaxed structure of Sr2ZnFe. The functional is PBE-GGA. Values from VASP.

```
&SYSTEM
  ibrav = 0, nat = 4, ntyp = 3
/
ATOMIC_SPECIES
Zn 65.41 Zn.upf
Sr 87.62 Sr.upf
Fe 55.84 Fe.upf
ATOMIC_POSITIONS crystal
Zn 0.750 0.750 0.750
Sr 0.000 0.000 0.000
Sr 0.250 0.250 0.250
Fe 0.500 0.500 0.500
CELL_PARAMETERS angstrom
5.277 0.000 0.000
2.638 4.570 0.000
2.638 1.523 4.309
```

Output
volume: 103.9 Å³/cell
calculated total energy: -0.101 hartree per atom
space group: No. 216
energy of formation: 0.5388 eV per atom


This record from the Alexandria database describes a relaxed structure of SrZn3Fe. The functional is PBE-GGA. Values from VASP.

```
&SYSTEM
  ibrav = 0, nat = 5, ntyp = 3
/
ATOMIC_SPECIES
Zn 65.41 Zn.upf
Fe 55.84 Fe.upf
Sr 87.62 Sr.upf
ATOMIC_POSITIONS crystal
Zn 0.500 0.000 0.000
Zn 0.000 0.500 0.000
Zn 0.000 0.000 0.500
Fe 0.500 0.500 0.500
Sr 0.000 0.000 0.000
CELL_PARAMETERS angstrom
-1.694 5.555 -0.714
-5.387 -1.820 -1.378
-1.531 0.258 5.642
```

Output
volume: 200.3 Å³/cell
excess energy over the best structure of this formula in the dataset: 135.8 kJ/mol of atoms
calculated total energy: -0.050 hartree per atom
space group: No. 221
energy of formation: 1.4360 eV per atom


This record from the Alexandria database describes a relaxed structure of SrZnFe2. The functional is PBE-GGA. Values from VASP.

```
&SYSTEM
  ibrav = 0, nat = 4, ntyp = 3
/
ATOMIC_SPECIES
Fe 55.84 Fe.upf
Sr 87.62 Sr.upf
Zn 65.41 Zn.upf
ATOMIC_POSITIONS crystal
Fe 0.000 0.000 0.000
Fe 0.500 0.500 0.000
Sr 0.500 0.000 0.500
Zn 0.000 0.500 0.500
CELL_PARAMETERS angstrom
-0.142 -3.806 -3.534
3.909 -0.609 3.368
-1.708 -1.522 1.707
```

Output
volume: 71.4 Å³/cell
calculated total energy: -0.152 hartree per atom
space group: No. 65
energy of formation: 0.8282 eV per atom


This record from the Alexandria database describes a relaxed structure of SrZn3Fe. The functional is PBE-GGA. Values from VASP.

```
&SYSTEM
  ibrav = 0, nat = 5, ntyp = 3
/
ATOMIC_SPECIES
Zn 65.41 Zn.upf
Sr 87.62 Sr.upf
Fe 55.84 Fe.upf
ATOMIC_POSITIONS crystal
Zn 0.000 0.500 0.000
Zn 0.500 0.000 0.000
Zn 0.000 0.000 0.500
Sr 0.500 0.500 0.500
Fe 0.000 0.000 0.000
CELL_PARAMETERS angstrom
4.716 0.000 0.000
0.000 4.716 0.000
0.000 0.000 4.716
```

Output
volume: 104.9 Å³/cell
excess energy over the best structure of this formula in the dataset: 0.0 kJ/mol of atoms
calculated total energy: -0.102 hartree per atom
space group: No. 221
energy of formation: 0.0284 eV per atom


This record from the Alexandria database describes a relaxed structure of SrZnFe. The functional is PBE-GGA. Values from VASP.

```
&SYSTEM
  ibrav = 0, nat = 3, ntyp = 3
/
ATOMIC_SPECIES
Fe 55.84 Fe.upf
Zn 65.41 Zn.upf
Sr 87.62 Sr.upf
ATOMIC_POSITIONS crystal
Fe 0.500 0.500 0.500
Zn 0.000 0.000 0.000
Sr 0.750 0.750 0.750
CELL_PARAMETERS angstrom
5.051 0.000 0.000
2.525 4.374 0.000
2.525 1.458 4.124
```

Output
volume: 91.1 Å³/cell
calculated total energy: -0.102 hartree per atom
space group: No. 216
energy of formation: 1.0396 eV per atom


This record from the Alexandria database describes a relaxed structure of SrZnFe2. The functional is PBE-GGA. Values from VASP.

```
&SYSTEM
  ibrav = 0, nat = 4, ntyp = 3
/
ATOMIC_SPECIES
Fe 55.84 Fe.upf
Zn 65.41 Zn.upf
Sr 87.62 Sr.upf
ATOMIC_POSITIONS crystal
Fe 0.500 0.335 0.165
Fe 0.000 0.972 0.028
Zn 0.500 0.680 0.820
Sr 0.000 0.513 0.487
CELL_PARAMETERS angstrom
3.226 0.000 0.000
0.000 3.222 -0.001
0.000 3.218 7.193
```

Output
volume: 74.8 Å³/cell
calculated total energy: -0.171 hartree per atom
space group: No. 99
energy of formation: 0.3059 eV per atom


This record from the Alexandria database describes a relaxed structure of SrZnFe2. The functional is PBE-GGA. Values from VASP.

```
&SYSTEM
  ibrav = 0, nat = 8, ntyp = 3
/
ATOMIC_SPECIES
Fe 55.84 Fe.upf
Zn 65.41 Zn.upf
Sr 87.62 Sr.upf
ATOMIC_POSITIONS crystal
Fe 0.375 0.625 0.750
Fe 0.375 0.625 0.250
Fe 0.375 0.125 0.250
Fe 0.875 0.625 0.750
Zn 0.250 0.750 0.500
Zn 0.500 0.500 0.000
Sr 0.750 0.250 0.500
Sr 0.000 0.000 0.000
CELL_PARAMETERS angstrom
-2.340 -3.454 1.864
3.911 -2.235 0.769
1.425 1.009 9.260
```

Output
volume: 184.9 Å³/cell
calculated total energy: -0.164 hartree per atom
space group: No. 141
energy of formation: 0.5027 eV per atom